An optimized crystal structure of V2Pb2O7, computed with PBE with a Hubbard U.

## Properties
polymorph energy (0 for the lowest one): 0.000 eV per atom

```
V2Pb2O7
1.0
3.872 -4.912 0.000
3.872 4.912 0.000
-0.901 0.000 5.022
V Pb O
2 2 7
Cartesian
1.335 0.000 2.177
5.507 0.000 2.845
3.872 1.905 0.000
3.872 -1.905 0.000
-0.451 0.000 2.511
1.738 1.401 1.274
2.217 0.000 3.694
1.738 -1.401 1.274
5.104 1.401 3.748
4.625 0.000 1.329
5.104 -1.401 3.748
```